Run A
# Cs2NaTi, relaxed, DFT PBE
data_Cs2NaTi
_cell_length_a 9.696
_cell_length_b 9.696
_cell_length_c 9.696
_cell_angle_alpha 90.00
_cell_angle_beta 90.00
_cell_angle_gamma 90.00
_symmetry_space_group_name_H-M 'F m -3 m'
_symmetry_Int_Tables_number 225
_symmetry_space_group_name_Hall '-F 4 2 3'
loop_
_atom_site_label
_atom_site_fract_x
_atom_site_fract_y
_atom_site_fract_z
Cs1 0.250 0.250 0.250
Na1 0.000 0.000 0.000
Ti1 0.000 0.000 0.500
# - Total magnetization: 3.0 μB per formula unit
# - Mass density: 2.45 Mg/m³
# - Volume: 57.0 Å³ per atom


Run B
# Cs2NaTi, relaxed, DFT PBE
data_Cs2NaTi
_cell_length_a 10.908
_cell_length_b 10.908
_cell_length_c 7.897
_cell_angle_alpha 90.00
_cell_angle_beta 90.00
_cell_angle_gamma 90.00
_symmetry_space_group_name_H-M 'I -4 2 d'
_symmetry_Int_Tables_number 122
_symmetry_space_group_name_Hall 'I -4 2bw'
loop_
_atom_site_label
_atom_site_fract_x
_atom_site_fract_y
_atom_site_fract_z
Cs1 0.237 0.250 0.125
Na1 0.000 0.000 0.500
Ti1 0.000 0.000 0.000
# - Total magnetization: 3.5 μB per formula unit
# - Mass density: 2.38 Mg/m³
# - Volume: 58.7 Å³ per atom


Order from most stable to least stable according to the calculation: run A, run B


Run A
# Cs2NaTl2, relaxed, DFT PBE
data_Cs2NaTl2
_cell_length_a 5.788
_cell_length_b 5.788
_cell_length_c 16.408
_cell_angle_alpha 90.00
_cell_angle_beta 90.00
_cell_angle_gamma 90.00
_symmetry_space_group_name_H-M 'I 4/m m m'
_symmetry_Int_Tables_number 139
_symmetry_space_group_name_Hall '-I 4 2'
loop_
_atom_site_label
_atom_site_fract_x
_atom_site_fract_y
_atom_site_fract_z
Cs1 0.000 0.500 0.250
Na1 0.000 0.000 0.000
Tl1 0.000 0.000 0.412
# - Total magnetization: 0.0 μB per formula unit
# - Mass density: 4.21 Mg/m³
# - Volume: 55.0 Å³ per atom


Run B
# Cs2NaTl2, relaxed, DFT PBE
data_Cs2NaTl2
_cell_length_a 8.738
_cell_length_b 8.738
_cell_length_c 6.486
_cell_angle_alpha 90.00
_cell_angle_beta 90.00
_cell_angle_gamma 90.00
_symmetry_space_group_name_H-M 'P 4/m b m'
_symmetry_Int_Tables_number 127
_symmetry_space_group_name_Hall '-P 4 2ab'
loop_
_atom_site_label
_atom_site_fract_x
_atom_site_fract_y
_atom_site_fract_z
Cs1 0.183 0.317 0.000
Na1 0.000 0.000 0.500
Tl1 0.123 0.623 0.500
# - Total magnetization: 0.0 μB per formula unit
# - Mass density: 4.68 Mg/m³
# - Volume: 49.5 Å³ per atom


Order from most stable to least stable according to the calculation: run B, run A


Run A
# Cs2NaTl2, relaxed, DFT PBE
data_Cs2NaTl2
_cell_length_a 5.953
_cell_length_b 6.431
_cell_length_c 12.821
_cell_angle_alpha 90.00
_cell_angle_beta 90.00
_cell_angle_gamma 90.00
_symmetry_space_group_name_H-M 'I m m m'
_symmetry_Int_Tables_number 71
_symmetry_space_group_name_Hall '-I 2 2'
loop_
_atom_site_label
_atom_site_fract_x
_atom_site_fract_y
_atom_site_fract_z
Cs1 0.000 0.000 0.193
Na1 0.000 0.500 0.000
Tl1 0.000 0.243 0.500
# - Total magnetization: 0.0 μB per formula unit
# - Mass density: 4.72 Mg/m³
# - Volume: 49.1 Å³ per atom


Run B
# Cs2NaTl2, relaxed, DFT PBE
data_Cs2NaTl2
_cell_length_a 11.496
_cell_length_b 11.496
_cell_length_c 3.980
_cell_angle_alpha 90.00
_cell_angle_beta 90.00
_cell_angle_gamma 90.00
_symmetry_space_group_name_H-M 'P 4/m b m'
_symmetry_Int_Tables_number 127
_symmetry_space_group_name_Hall '-P 4 2ab'
loop_
_atom_site_label
_atom_site_fract_x
_atom_site_fract_y
_atom_site_fract_z
Cs1 0.196 0.304 0.000
Na1 0.000 0.000 0.000
Tl1 0.094 0.594 0.500
# - Total magnetization: 0.0 μB per formula unit
# - Mass density: 4.40 Mg/m³
# - Volume: 52.6 Å³ per atom


Order from most stable to least stable according to the calculation: run A, run B


Run A
# CsNa3Tl, relaxed, DFT PBE
data_CsNa3Tl
_cell_length_a 6.827
_cell_length_b 6.827
_cell_length_c 6.827
_cell_angle_alpha 90.00
_cell_angle_beta 90.00
_cell_angle_gamma 90.00
_symmetry_space_group_name_H-M 'P m -3 m'
_symmetry_Int_Tables_number 221
_symmetry_space_group_name_Hall '-P 4 2 3'
loop_
_atom_site_label
_atom_site_fract_x
_atom_site_fract_y
_atom_site_fract_z
Cs1 0.000 0.000 0.000
Na1 0.000 0.000 0.500
Tl1 0.500 0.500 0.500
# - Total magnetization: 0.0 μB per formula unit
# - Mass density: 2.12 Mg/m³
# - Volume: 63.7 Å³ per atom


Run B
# CsNa3Tl, relaxed, DFT PBE
data_CsNa3Tl
_cell_length_a 7.919
_cell_length_b 16.043
_cell_length_c 6.839
_cell_angle_alpha 90.00
_cell_angle_beta 90.00
_cell_angle_gamma 90.00
_symmetry_space_group_name_H-M 'C m c m'
_symmetry_Int_Tables_number 63
_symmetry_space_group_name_Hall '-C 2c 2'
loop_
_atom_site_label
_atom_site_fract_x
_atom_site_fract_y
_atom_site_fract_z
Cs1 0.000 0.092 0.250
Na1 0.000 0.322 0.750
Na2 0.216 0.350 0.250
Tl1 0.000 0.500 0.000
# - Total magnetization: 0.0 μB per formula unit
# - Mass density: 3.11 Mg/m³
# - Volume: 43.4 Å³ per atom


Run C
# CsNa3Tl, relaxed, DFT PBE
data_CsNa3Tl
_cell_length_a 17.787
_cell_length_b 12.215
_cell_length_c 8.230
_cell_angle_alpha 90.00
_cell_angle_beta 102.81
_cell_angle_gamma 90.00
_symmetry_space_group_name_H-M 'C 1 2/c 1'
_symmetry_Int_Tables_number 15
loop_
_symmetry_equiv_pos_as_xyz
'x,y,z'
'-x,-y,-z'
'-x,y,-z+1/2'
'x,-y,z+1/2'
'x+1/2,y+1/2,z'
'-x+1/2,-y+1/2,-z'
'-x+1/2,y+1/2,-z+1/2'
'x+1/2,-y+1/2,z+1/2'
loop_
_atom_site_label
_atom_site_fract_x
_atom_site_fract_y
_atom_site_fract_z
Cs1 0.000 0.022 0.250
Cs2 0.000 0.357 0.750
Na1 0.180 0.498 0.093
Na2 0.189 0.166 0.096
Na3 0.199 0.164 0.598
Tl1 0.091 0.321 0.305
# - Total magnetization: 0.0 μB per formula unit
# - Mass density: 3.10 Mg/m³
# - Volume: 43.6 Å³ per atom


Run D
# CsNa3Tl, relaxed, DFT PBE
data_CsNa3Tl
_cell_length_a 6.206
_cell_length_b 6.206
_cell_length_c 6.206
_cell_angle_alpha 90.00
_cell_angle_beta 90.00
_cell_angle_gamma 90.00
_symmetry_space_group_name_H-M 'P m -3 m'
_symmetry_Int_Tables_number 221
_symmetry_space_group_name_Hall '-P 4 2 3'
loop_
_atom_site_label
_atom_site_fract_x
_atom_site_fract_y
_atom_site_fract_z
Cs1 0.000 0.000 0.000
Na1 0.000 0.500 0.500
Tl1 0.500 0.500 0.500
# - Total magnetization: 0.0 μB per formula unit
# - Mass density: 2.82 Mg/m³
# - Volume: 47.8 Å³ per atom


Order from most stable to least stable according to the calculation: run B, run C, run D, run A


Run A
# Cs2NaTl, relaxed, DFT PBE
data_Cs2NaTl
_cell_length_a 4.890
_cell_length_b 4.890
_cell_length_c 9.603
_cell_angle_alpha 90.00
_cell_angle_beta 90.00
_cell_angle_gamma 90.00
_symmetry_space_group_name_H-M 'P 4/m m m'
_symmetry_Int_Tables_number 123
_symmetry_space_group_name_Hall '-P 4 2'
loop_
_atom_site_label
_atom_site_fract_x
_atom_site_fract_y
_atom_site_fract_z
Cs1 0.000 0.000 0.228
Na1 0.500 0.500 0.500
Tl1 0.500 0.500 0.000
# - Total magnetization: 0.0 μB per formula unit
# - Mass density: 3.57 Mg/m³
# - Volume: 57.4 Å³ per atom


Run B
# Cs2NaTl, relaxed, DFT PBE
data_Cs2NaTl
_cell_length_a 6.3846
_cell_length_b 6.3846
_cell_length_c 23.9664
_cell_angle_alpha 90.00
_cell_angle_beta 90.00
_cell_angle_gamma 120.00
_symmetry_space_group_name_H-M 'R 3 m'
_symmetry_Int_Tables_number 160
_symmetry_space_group_name_Hall 'R 3 -2"'
loop_
_atom_site_label
_atom_site_fract_x
_atom_site_fract_y
_atom_site_fract_z
Cs1 0.0000 0.0000 0.0000
Cs2 0.0000 0.0000 0.2004
Na1 0.0000 0.0000 0.4438
Tl1 0.0000 0.0000 0.5825
# - Total magnetization: 0.0 μB per formula unit
# - Mass density: 2.90 Mg/m³
# - Volume: 70.5 Å³ per atom


Order from most stable to least stable according to the calculation: run A, run B